Density functional theory data (PBE) for an optimized crystal structure of Y12Er6Th.

Results
- DFT total energy (eV per atom) = -5.775
- N(E_F) (states/eV per atom) = 1.8870
- calculated formation energy (eV/atom) = 0.1392

Cell lengths 8.6762, 8.6762, 8.6762 Å; angles 98.65, 98.65, 98.65 degrees
With the nearest neighbours (Å) after each atom.
Element x y z (fractional)
Y 0.5919 0.1695 0.5919  7 Y 3.19-3.51
Y 0.1695 0.5919 0.5919  7 Y 3.19-3.51
Y 0.5919 0.5919 0.1695  7 Y 3.19-3.51
Y 0.4081 0.8305 0.4081  7 Y 3.19-3.51
Y 0.8305 0.4081 0.4081  7 Y 3.19-3.51
Y 0.4081 0.4081 0.8305  7 Y 3.19-3.51
Y 0.2627 0.0000 0.7373  4 Er 3.37-3.51, 1 Th 3.46, 6 Y 3.46-3.51
Y 0.2627 0.7373 0.0000  4 Er 3.37-3.51, 6 Y 3.46-3.51, 1 Th 3.46
Y 0.0000 0.2627 0.7373  4 Er 3.37-3.51, 6 Y 3.46-3.51, 1 Th 3.46
Y 0.7373 0.0000 0.2627  4 Er 3.37-3.51, 1 Th 3.46, 6 Y 3.46-3.51
Y 0.7373 0.2627 0.0000  4 Er 3.37-3.51, 6 Y 3.46-3.51, 1 Th 3.46
Y 0.0000 0.7373 0.2627  4 Er 3.37-3.51, 6 Y 3.46-3.51, 1 Th 3.46
Er 0.1417 0.1417 0.4069  4 Y 3.37-3.51, 2 Er 3.49, 1 Th 3.52
Er 0.8583 0.5931 0.8583  4 Y 3.37-3.51, 2 Er 3.49, 1 Th 3.52
Er 0.5931 0.8583 0.8583  4 Y 3.37-3.51, 2 Er 3.49, 1 Th 3.52
Er 0.8583 0.8583 0.5931  4 Y 3.37-3.51, 2 Er 3.49, 1 Th 3.52
Er 0.1417 0.4069 0.1417  4 Y 3.37-3.51, 2 Er 3.49, 1 Th 3.52
Er 0.4069 0.1417 0.1417  4 Y 3.37-3.51, 2 Er 3.49, 1 Th 3.52
Th 0.0000 0.0000 0.0000  6 Y 3.46, 6 Er 3.52